1.
Below is Tl3RuCl2F6 after structural relaxation, with properties calculated at the GGA-PBE level.

a = 4.8104 Å, b = 7.7100 Å, c = 8.6220 Å
α = 116.56°, β = 90.41°, γ = 90.00°
Last column: nearest neighbours and their distance in Å.
Atoms (fractional coordinates):
Tl1 0.0000 0.5000 0.0000  4 F 2.90, 2 Cl 3.07
Tl2 0.5000 0.5000 0.5000  4 F 3.09-3.34, 4 Cl 3.14-3.22
Tl3 0.5000 0.0000 0.5000  4 F 3.09-3.34, 4 Cl 3.14-3.22
Ru1 0.5000 0.0000 0.0000  6 F 1.91
Cl1 0.0098 0.6991 0.3981  5 Tl 3.07-3.22, 1 F 3.36
Cl2 0.9902 0.3009 0.6019  5 Tl 3.07-3.22, 1 F 3.36
F1 0.7268 0.2284 0.0982  1 Ru 1.91
F2 0.2732 0.7716 0.9018  1 Ru 1.91
F3 0.7022 0.8939 0.7878  1 Ru 1.91
F4 0.2978 0.1061 0.2122  1 Ru 1.91
F5 0.2732 0.1302 0.9018  1 Ru 1.91
F6 0.7268 0.8698 0.0982  1 Ru 1.91

Properties
spin magnetization: 2.909 μB per formula unit
raw formation energy: -1.55 eV per atom
DOS(E_F): 2.7 states/eV per cell
calculated total energy: -0.1527 Ha/atom

2.
Below is Ni2MoPt2 after structural relaxation, with properties calculated at the GGA-PBE level.

a = 7.0011 Å, b = 7.0011 Å, c = 2.8421 Å
α = 90.00°, β = 90.00°, γ = 90.00°
Last column: nearest neighbours and their distance in Å.
Atoms (fractional coordinates):
Ni1 0.3749 0.8749 0.0000  6 Pt 2.46-2.54, 1 Ni 2.48
Ni2 0.8749 0.6251 0.0000  6 Pt 2.46-2.54, 1 Ni 2.48
Ni3 0.6251 0.1251 0.0000  6 Pt 2.46-2.54, 1 Ni 2.48
Ni4 0.1251 0.3749 0.0000  6 Pt 2.46-2.54, 1 Ni 2.48
Mo1 0.0000 0.0000 0.0000  4 Ni 2.77, 2 Mo 2.84, 8 Pt 2.96
Mo2 0.5000 0.5000 0.0000  4 Ni 2.77, 2 Mo 2.84, 8 Pt 2.96
Pt1 0.1724 0.6724 0.5000  6 Ni 2.46-2.54
Pt2 0.6724 0.8276 0.5000  6 Ni 2.46-2.54
Pt3 0.8276 0.3276 0.5000  6 Ni 2.46-2.54
Pt4 0.3276 0.1724 0.5000  6 Ni 2.46-2.54

Properties
spin magnetization: 0.000 μB per formula unit
DOS(E_F): 15.1 states/eV per cell
calculated total energy: -0.2527 Ha/atom

3.
Below is Rb6NaAu after structural relaxation, with properties calculated at the GGA-PBE level.

a = 4.9273 Å, b = 10.7073 Å, c = 10.7073 Å
α = 96.56°, β = 90.00°, γ = 90.00°
Last column: nearest neighbours and their distance in Å.
Atoms (fractional coordinates):
Rb1 0.0000 0.5237 0.7773  2 Au 3.72, 1 Na 4.11
Rb2 0.0000 0.2227 0.4763  2 Au 3.72, 1 Na 4.11
Rb3 0.0000 0.6526 0.3473  10 Rb 4.74-4.95
Rb4 0.5000 0.9190 0.6480  1 Au 3.69, 2 Na 3.96
Rb5 0.5000 0.3520 0.0810  1 Au 3.69, 2 Na 3.96
Rb6 0.5000 0.9137 0.0863  2 Na 4.56, 6 Rb 4.70-4.93
Na1 0.0000 0.1541 0.8459  2 Au 3.01
Au1 0.5000 0.2621 0.7379  2 Na 3.01

Properties
spin magnetization: 0.000 μB per formula unit
DOS(E_F): 5.7 states/eV per cell
calculated total energy: -0.0499 Ha/atom

Q: Among the records above, which one has the highest DOS(E_F)?
A: Ni2MoPt2

Copy entry 2 word for word.
Below is Ni2MoPt2 after structural relaxation, with properties calculated at the GGA-PBE level.

a = 7.0011 Å, b = 7.0011 Å, c = 2.8421 Å
α = 90.00°, β = 90.00°, γ = 90.00°
Last column: nearest neighbours and their distance in Å.
Atoms (fractional coordinates):
Ni1 0.3749 0.8749 0.0000  6 Pt 2.46-2.54, 1 Ni 2.48
Ni2 0.8749 0.6251 0.0000  6 Pt 2.46-2.54, 1 Ni 2.48
Ni3 0.6251 0.1251 0.0000  6 Pt 2.46-2.54, 1 Ni 2.48
Ni4 0.1251 0.3749 0.0000  6 Pt 2.46-2.54, 1 Ni 2.48
Mo1 0.0000 0.0000 0.0000  4 Ni 2.77, 2 Mo 2.84, 8 Pt 2.96
Mo2 0.5000 0.5000 0.0000  4 Ni 2.77, 2 Mo 2.84, 8 Pt 2.96
Pt1 0.1724 0.6724 0.5000  6 Ni 2.46-2.54
Pt2 0.6724 0.8276 0.5000  6 Ni 2.46-2.54
Pt3 0.8276 0.3276 0.5000  6 Ni 2.46-2.54
Pt4 0.3276 0.1724 0.5000  6 Ni 2.46-2.54

Properties
spin magnetization: 0.000 μB per formula unit
DOS(E_F): 15.1 states/eV per cell
calculated total energy: -0.2527 Ha/atom

Copy entry 2 word for word.
Below is Ni2MoPt2 after structural relaxation, with properties calculated at the GGA-PBE level.

a = 7.0011 Å, b = 7.0011 Å, c = 2.8421 Å
α = 90.00°, β = 90.00°, γ = 90.00°
Last column: nearest neighbours and their distance in Å.
Atoms (fractional coordinates):
Ni1 0.3749 0.8749 0.0000  6 Pt 2.46-2.54, 1 Ni 2.48
Ni2 0.8749 0.6251 0.0000  6 Pt 2.46-2.54, 1 Ni 2.48
Ni3 0.6251 0.1251 0.0000  6 Pt 2.46-2.54, 1 Ni 2.48
Ni4 0.1251 0.3749 0.0000  6 Pt 2.46-2.54, 1 Ni 2.48
Mo1 0.0000 0.0000 0.0000  4 Ni 2.77, 2 Mo 2.84, 8 Pt 2.96
Mo2 0.5000 0.5000 0.0000  4 Ni 2.77, 2 Mo 2.84, 8 Pt 2.96
Pt1 0.1724 0.6724 0.5000  6 Ni 2.46-2.54
Pt2 0.6724 0.8276 0.5000  6 Ni 2.46-2.54
Pt3 0.8276 0.3276 0.5000  6 Ni 2.46-2.54
Pt4 0.3276 0.1724 0.5000  6 Ni 2.46-2.54

Properties
spin magnetization: 0.000 μB per formula unit
DOS(E_F): 15.1 states/eV per cell
calculated total energy: -0.2527 Ha/atom

Q: Which of these has the highest calculated total energy?
A: Rb6NaAu